Record 1
The following is a DFT calculation (GGA-PBE) of a relaxed structure of Tb2Pr4Sm5.

Values from the calculation:
total moment	0.00	Bohr magnetons per cell
SG	Immm (71)
energy above the most stable polymorph in this dataset	0.147	eV/atom
energy relative to the elements	246.6	meV/atom
crystal system	orthorhombic

Cell lengths 12.706, 12.706, 12.706 Å; angles 163.96, 136.28, 46.86 degrees
Sites, in units of the cell vectors:
Tb: 0.230 0.230 0.000
Tb: 0.770 0.770 0.000
Pr: 0.096 0.096 0.000
Pr: 0.206 0.500 0.706
Pr: 0.794 0.500 0.294
Pr: 0.904 0.904 0.000
Sm: 0.148 0.350 0.798
Sm: 0.448 0.650 0.798
Sm: 0.500 0.000 0.500
Sm: 0.552 0.350 0.202
Sm: 0.852 0.650 0.202

Record 2
The following is a DFT calculation (GGA-PBE) of a relaxed structure of CeErSe2Cl.

Values from the calculation:
total moment	2.31	Bohr magnetons per cell
SG	P4/nmm (129)
crystal system	tetragonal
formation energy from raw total energies	-1.83	eV/atom

Cell lengths 4.184, 4.184, 13.998 Å; angles 90.00, 90.00, 90.00 degrees
Sites, in units of the cell vectors:
Ce: 0.250 0.250 0.149
Ce: 0.750 0.750 0.851
Er: 0.250 0.250 0.594
Er: 0.750 0.750 0.406
Se: 0.250 0.250 0.389
Se: 0.250 0.250 0.794
Se: 0.750 0.750 0.206
Se: 0.750 0.750 0.611
Cl: 0.250 0.750 0.000
Cl: 0.750 0.250 0.000

Record 3
The following is a DFT calculation (GGA-PBE) of a relaxed structure of FeNi3Rh3.

Values from the calculation:
total moment	24.88	Bohr magnetons per cell
SG	P2_13 (198)
energy above the most stable polymorph in this dataset	0.000	eV/atom
energy relative to the elements	206.2	meV/atom
crystal system	cubic

Cell lengths 7.199, 7.199, 7.199 Å; angles 90.00, 90.00, 90.00 degrees
Sites, in units of the cell vectors:
Fe: 0.152 0.348 0.652
Fe: 0.348 0.652 0.152
Fe: 0.652 0.152 0.348
Fe: 0.848 0.848 0.848
Ni: 0.032 0.532 0.968
Ni: 0.148 0.148 0.148
Ni: 0.163 0.837 0.337
Ni: 0.337 0.163 0.837
Ni: 0.352 0.852 0.648
Ni: 0.468 0.468 0.468
Ni: 0.532 0.968 0.032
Ni: 0.648 0.352 0.852
Ni: 0.663 0.663 0.663
Ni: 0.837 0.337 0.163
Ni: 0.852 0.648 0.352
Ni: 0.968 0.032 0.532
Rh: 0.051 0.677 0.636
Rh: 0.136 0.449 0.323
Rh: 0.177 0.864 0.949
Rh: 0.323 0.136 0.449
Rh: 0.364 0.551 0.823
Rh: 0.449 0.323 0.136
Rh: 0.551 0.823 0.364
Rh: 0.636 0.051 0.677
Rh: 0.677 0.636 0.051
Rh: 0.823 0.364 0.551
Rh: 0.864 0.949 0.177
Rh: 0.949 0.177 0.864

The following DOS at the Fermi energy values (in states/eV/atom) correspond, in order, to the records above: 1.422, 1.530, 1.799.
The following E values (in eV/atom) correspond, in order, to the records above: -4.48, -5.70, -6.63.